No. 1
A plane-wave DFT calculation with PBE-GGA was carried out for crystalline FeTe2H at its relaxed geometry.

Properties
For the total DFT energy (no corrections), the calculation gives -3.99 eV/atom. Its space group is Fm-3m (225). The distance to the lowest polymorph of the same formula is 404.8 meV per atom.

Cell: 6.308 6.308 6.308 Å, 90.00 90.00 90.00°
Fractional coordinates of all 16 atoms:
1 Fe 0.000 0.000 0.000
2 Fe 0.000 0.500 0.500
3 Fe 0.500 0.000 0.500
4 Fe 0.500 0.500 0.000
5 Te 0.250 0.250 0.250
6 Te 0.250 0.250 0.750
7 Te 0.250 0.750 0.250
8 Te 0.250 0.750 0.750
9 Te 0.750 0.250 0.250
10 Te 0.750 0.250 0.750
11 Te 0.750 0.750 0.250
12 Te 0.750 0.750 0.750
13 H 0.000 0.000 0.500
14 H 0.000 0.500 0.000
15 H 0.500 0.000 0.000
16 H 0.500 0.500 0.500

No. 2
A plane-wave DFT calculation with PBE-GGA was carried out for crystalline Ho2InSb at its relaxed geometry.

Properties
For the total DFT energy (no corrections), the calculation gives -4.64 eV/atom. Its space group is R-3m (166). The uncorrected formation energy is -0.639 eV per atom. The distance to the lowest polymorph of the same formula is 112.1 meV per atom.

Cell: 4.135 4.135 24.122 Å, 90.00 90.00 120.00°
Fractional coordinates of all 12 atoms:
1 Ho 0.000 0.000 0.243
2 Ho 0.000 0.000 0.757
3 Ho 0.333 0.667 0.423
4 Ho 0.333 0.667 0.910
5 Ho 0.667 0.333 0.090
6 Ho 0.667 0.333 0.577
7 In 0.000 0.000 0.000
8 In 0.333 0.667 0.667
9 In 0.667 0.333 0.333
10 Sb 0.000 0.000 0.500
11 Sb 0.333 0.667 0.167
12 Sb 0.667 0.333 0.833

No. 3
A plane-wave DFT calculation with PBE-GGA was carried out for crystalline NdEu2Zn at its relaxed geometry.

Properties
For the energy of formation, the calculation gives 4.5 meV per atom. For the total DFT energy (no corrections), the calculation gives -6.64 eV/atom. Its space group is R-3m (166). The distance to the lowest polymorph of the same formula is 87.3 meV per atom.

Cell: 3.757 3.757 33.129 Å, 90.00 90.00 120.00°
Fractional coordinates of all 12 atoms:
1 Nd 0.000 0.000 0.000
2 Nd 0.333 0.667 0.667
3 Nd 0.667 0.333 0.333
4 Eu 0.000 0.000 0.238
5 Eu 0.000 0.000 0.762
6 Eu 0.333 0.667 0.429
7 Eu 0.333 0.667 0.904
8 Eu 0.667 0.333 0.096
9 Eu 0.667 0.333 0.571
10 Zn 0.000 0.000 0.500
11 Zn 0.333 0.667 0.167
12 Zn 0.667 0.333 0.833

No. 4
A plane-wave DFT calculation with PBE-GGA was carried out for crystalline Sr2ZnI at its relaxed geometry.

Properties
For the total DFT energy (no corrections), the calculation gives -2.18 eV/atom. Its space group is P4/mmm (123). The uncorrected formation energy is -0.631 eV per atom. The distance to the lowest polymorph of the same formula is 48.1 meV per atom.

Cell: 3.982 3.982 8.780 Å, 90.00 90.00 90.00°
Fractional coordinates of all 4 atoms:
1 Sr 0.000 0.000 0.217
2 Sr 0.000 0.000 0.783
3 Zn 0.500 0.500 0.000
4 I 0.500 0.500 0.500

No. 5
A plane-wave DFT calculation with PBE-GGA was carried out for crystalline Tc2NiN at its relaxed geometry.

Properties
For the total DFT energy (no corrections), the calculation gives -8.31 eV/atom. Its space group is R3m (160). The uncorrected formation energy is 0.398 eV per atom.

Cell: 3.176 3.176 16.977 Å, 90.00 90.00 120.00°
Fractional coordinates of all 12 atoms:
1 Tc 0.000 0.000 0.000
2 Tc 0.000 0.000 0.214
3 Tc 0.333 0.667 0.667
4 Tc 0.333 0.667 0.880
5 Tc 0.667 0.333 0.333
6 Tc 0.667 0.333 0.547
7 Ni 0.000 0.000 0.433
8 Ni 0.333 0.667 0.100
9 Ni 0.667 0.333 0.766
10 N 0.000 0.000 0.591
11 N 0.333 0.667 0.258
12 N 0.667 0.333 0.925

No. 6
A plane-wave DFT calculation with PBE-GGA was carried out for crystalline La5Pr2Zn2Cd at its relaxed geometry.

Properties
For the energy of formation, the calculation gives -152.7 meV per atom. For the total DFT energy (no corrections), the calculation gives -3.92 eV/atom. Its space group is P4/mbm (127).

Cell: 12.809 12.809 3.982 Å, 90.00 90.00 90.00°
Fractional coordinates of all 20 atoms:
1 La 0.000 0.500 0.000
2 La 0.055 0.202 0.000
3 La 0.202 0.945 0.000
4 La 0.298 0.445 0.000
5 La 0.445 0.702 0.000
6 La 0.500 0.000 0.000
7 La 0.555 0.298 0.000
8 La 0.702 0.555 0.000
9 La 0.798 0.055 0.000
10 La 0.945 0.798 0.000
11 Pr 0.180 0.680 0.500
12 Pr 0.320 0.180 0.500
13 Pr 0.680 0.820 0.500
14 Pr 0.820 0.320 0.500
15 Zn 0.130 0.370 0.500
16 Zn 0.370 0.870 0.500
17 Zn 0.630 0.130 0.500
18 Zn 0.870 0.630 0.500
19 Cd 0.000 0.000 0.500
20 Cd 0.500 0.500 0.500

No. 7
A plane-wave DFT calculation with PBE-GGA was carried out for crystalline NaY2BiTe at its relaxed geometry.

Properties
For the total DFT energy (no corrections), the calculation gives -4.08 eV/atom. Its space group is P4/mmm (123). The uncorrected formation energy is 0.179 eV per atom.

Cell: 5.847 5.847 6.348 Å, 90.00 90.00 90.00°
Fractional coordinates of all 5 atoms:
1 Na 0.000 0.000 0.000
2 Y 0.000 0.500 0.500
3 Y 0.500 0.000 0.500
4 Bi 0.500 0.500 0.500
5 Te 0.500 0.500 0.000

No. 8
A plane-wave DFT calculation with PBE-GGA was carried out for crystalline Ca3Ce2PmP6 at its relaxed geometry.

Properties
For the energy of formation, the calculation gives -1260.4 meV per atom. For the total DFT energy (no corrections), the calculation gives -5.85 eV/atom. Its space group is C2/m (12).

Cell: 7.196 7.196 7.066 Å, 99.78 99.78 120.03°
Fractional coordinates of all 12 atoms:
1 Ca 0.000 0.000 0.000
2 Ca 0.335 0.665 0.000
3 Ca 0.665 0.335 0.000
4 Ce 0.167 0.833 0.500
5 Ce 0.833 0.167 0.500
6 Pm 0.500 0.500 0.500
7 P 0.082 0.422 0.265
8 P 0.239 0.239 0.736
9 P 0.422 0.082 0.265
10 P 0.578 0.918 0.735
11 P 0.761 0.761 0.264
12 P 0.918 0.578 0.735

No. 9
A plane-wave DFT calculation with PBE-GGA was carried out for crystalline La4DyHo5 at its relaxed geometry.

Properties
For the energy of formation, the calculation gives 194.2 meV per atom. For the total DFT energy (no corrections), the calculation gives -4.53 eV/atom. Its space group is C2/m (12). The distance to the lowest polymorph of the same formula is 0.0 meV per atom.

Cell: 8.763 8.763 11.472 Å, 90.04 90.04 23.30°
Fractional coordinates of all 10 atoms:
1 La 0.034 0.034 0.250
2 La 0.337 0.337 0.250
3 La 0.663 0.663 0.750
4 La 0.966 0.966 0.750
5 Dy 0.500 0.500 0.500
6 Ho 0.173 0.173 0.047
7 Ho 0.173 0.173 0.452
8 Ho 0.500 0.500 0.000
9 Ho 0.827 0.827 0.548
10 Ho 0.827 0.827 0.953

No. 10
A plane-wave DFT calculation with PBE-GGA was carried out for crystalline SmDyZrIn at its relaxed geometry.

Properties
For the energy of formation, the calculation gives -59.5 meV per atom. For the total DFT energy (no corrections), the calculation gives -5.21 eV/atom. Its space group is F-43m (216).

Cell: 7.613 7.613 7.613 Å, 90.00 90.00 90.00°
Fractional coordinates of all 16 atoms:
1 Sm 0.000 0.000 0.000
2 Sm 0.000 0.500 0.500
3 Sm 0.500 0.000 0.500
4 Sm 0.500 0.500 0.000
5 Dy 0.000 0.000 0.500
6 Dy 0.000 0.500 0.000
7 Dy 0.500 0.000 0.000
8 Dy 0.500 0.500 0.500
9 Zr 0.250 0.250 0.750
10 Zr 0.250 0.750 0.250
11 Zr 0.750 0.250 0.250
12 Zr 0.750 0.750 0.750
13 In 0.250 0.250 0.250
14 In 0.250 0.750 0.750
15 In 0.750 0.250 0.750
16 In 0.750 0.750 0.250

No. 11
A plane-wave DFT calculation with PBE-GGA was carried out for crystalline Sc2Ga5Ni3 at its relaxed geometry.

Properties
For the energy of formation, the calculation gives -546.0 meV per atom. For the total DFT energy (no corrections), the calculation gives -5.06 eV/atom. Its space group is Ibam (72). The distance to the lowest polymorph of the same formula is 15.4 meV per atom.

Cell: 8.244 8.244 8.244 Å, 109.67 82.57 142.44°
Fractional coordinates of all 20 atoms:
1 Sc 0.156 0.219 0.375
2 Sc 0.344 0.719 0.064
3 Sc 0.656 0.281 0.936
4 Sc 0.844 0.781 0.625
5 Ga 0.050 0.750 0.300
6 Ga 0.079 0.688 0.767
7 Ga 0.250 0.250 0.000
8 Ga 0.421 0.188 0.608
9 Ga 0.450 0.750 0.700
10 Ga 0.550 0.250 0.300
11 Ga 0.579 0.812 0.392
12 Ga 0.750 0.750 0.000
13 Ga 0.921 0.312 0.233
14 Ga 0.950 0.250 0.700
15 Ni 0.151 0.918 0.069
16 Ni 0.250 0.750 0.500
17 Ni 0.349 0.418 0.767
18 Ni 0.651 0.582 0.233
19 Ni 0.750 0.250 0.500
20 Ni 0.849 0.082 0.931

No. 12
A plane-wave DFT calculation with PBE-GGA was carried out for crystalline Sm3CSe2 at its relaxed geometry.

Properties
For the total DFT energy (no corrections), the calculation gives -6.38 eV/atom. Its space group is Immm (71). The uncorrected formation energy is -1.317 eV per atom.

Cell: 3.897 5.724 12.542 Å, 90.00 90.00 90.00°
Fractional coordinates of all 12 atoms:
1 Sm 0.000 0.000 0.000
2 Sm 0.000 0.000 0.364
3 Sm 0.000 0.000 0.636
4 Sm 0.500 0.500 0.136
5 Sm 0.500 0.500 0.500
6 Sm 0.500 0.500 0.864
7 C 0.000 0.500 0.000
8 C 0.500 0.000 0.500
9 Se 0.000 0.500 0.325
10 Se 0.000 0.500 0.675
11 Se 0.500 0.000 0.175
12 Se 0.500 0.000 0.825

No. 13
A plane-wave DFT calculation with PBE-GGA was carried out for crystalline PrTmBi2 at its relaxed geometry.

Properties
For the energy of formation, the calculation gives -607.2 meV per atom. For the total DFT energy (no corrections), the calculation gives -4.86 eV/atom. Its space group is P4/mmm (123). The distance to the lowest polymorph of the same formula is 258.0 meV per atom.

Cell: 3.841 3.841 8.221 Å, 90.00 90.00 90.00°
Fractional coordinates of all 4 atoms:
1 Pr 0.000 0.000 0.000
2 Tm 0.000 0.000 0.500
3 Bi 0.500 0.500 0.264
4 Bi 0.500 0.500 0.736

No. 14
A plane-wave DFT calculation with PBE-GGA was carried out for crystalline LaSiPt3 at its relaxed geometry.

Properties
For the total DFT energy (no corrections), the calculation gives -6.79 eV/atom. Its space group is I4mm (107). The uncorrected formation energy is -1.099 eV per atom. The distance to the lowest polymorph of the same formula is 0.0 meV per atom.

Cell: 4.132 4.132 11.054 Å, 90.00 90.00 90.00°
Fractional coordinates of all 10 atoms:
1 La 0.000 0.000 0.000
2 La 0.500 0.500 0.500
3 Si 0.000 0.000 0.368
4 Si 0.500 0.500 0.868
5 Pt 0.000 0.000 0.579
6 Pt 0.000 0.500 0.255
7 Pt 0.000 0.500 0.755
8 Pt 0.500 0.000 0.255
9 Pt 0.500 0.000 0.755
10 Pt 0.500 0.500 0.079

No. 15
A plane-wave DFT calculation with PBE-GGA was carried out for crystalline La2ReIr at its relaxed geometry.

Properties
For the energy of formation, the calculation gives 138.2 meV per atom. For the total DFT energy (no corrections), the calculation gives -7.65 eV/atom. Its space group is Fm-3m (225). The distance to the lowest polymorph of the same formula is 294.9 meV per atom.

Cell: 7.173 7.173 7.173 Å, 90.00 90.00 90.00°
Fractional coordinates of all 16 atoms:
1 La 0.250 0.250 0.250
2 La 0.250 0.250 0.750
3 La 0.250 0.750 0.250
4 La 0.250 0.750 0.750
5 La 0.750 0.250 0.250
6 La 0.750 0.250 0.750
7 La 0.750 0.750 0.250
8 La 0.750 0.750 0.750
9 Re 0.000 0.000 0.000
10 Re 0.000 0.500 0.500
11 Re 0.500 0.000 0.500
12 Re 0.500 0.500 0.000
13 Ir 0.000 0.000 0.500
14 Ir 0.000 0.500 0.000
15 Ir 0.500 0.000 0.000
16 Ir 0.500 0.500 0.500

No. 16
A plane-wave DFT calculation with PBE-GGA was carried out for crystalline ReTeAs at its relaxed geometry.

Properties
For the total DFT energy (no corrections), the calculation gives -6.17 eV/atom. Its space group is Fmm2 (42). The uncorrected formation energy is 0.580 eV per atom. The distance to the lowest polymorph of the same formula is 342.9 meV per atom.

Cell: 3.304 5.119 15.380 Å, 90.00 90.00 90.00°
Fractional coordinates of all 12 atoms:
1 Re 0.000 0.000 0.000
2 Re 0.000 0.500 0.500
3 Re 0.500 0.000 0.500
4 Re 0.500 0.500 0.000
5 Te 0.000 0.000 0.653
6 Te 0.000 0.500 0.153
7 Te 0.500 0.000 0.153
8 Te 0.500 0.500 0.653
9 As 0.000 0.000 0.381
10 As 0.000 0.500 0.881
11 As 0.500 0.000 0.881
12 As 0.500 0.500 0.381

No. 17
A plane-wave DFT calculation with PBE-GGA was carried out for crystalline Tl3GeAu4 at its relaxed geometry.

Properties
For the energy of formation, the calculation gives 8.7 meV per atom. For the total DFT energy (no corrections), the calculation gives -3.09 eV/atom. Its space group is Imm2 (44). The distance to the lowest polymorph of the same formula is 0.0 meV per atom.

Cell: 6.632 9.213 7.007 Å, 90.00 90.00 90.00°
Fractional coordinates of all 16 atoms:
1 Tl 0.000 0.000 0.000
2 Tl 0.000 0.278 0.716
3 Tl 0.000 0.722 0.716
4 Tl 0.500 0.222 0.216
5 Tl 0.500 0.500 0.500
6 Tl 0.500 0.778 0.216
7 Ge 0.000 0.500 0.147
8 Ge 0.500 0.000 0.647
9 Au 0.000 0.255 0.292
10 Au 0.000 0.745 0.292
11 Au 0.208 0.000 0.422
12 Au 0.292 0.500 0.922
13 Au 0.500 0.245 0.792
14 Au 0.500 0.755 0.792
15 Au 0.708 0.500 0.922
16 Au 0.792 0.000 0.422

No. 18
A plane-wave DFT calculation with PBE-GGA was carried out for crystalline Tl2GaNiPb at its relaxed geometry.

Properties
For the energy of formation, the calculation gives 410.9 meV per atom. For the total DFT energy (no corrections), the calculation gives -3.04 eV/atom. Its space group is P4/mmm (123).

Cell: 5.530 5.530 4.528 Å, 90.00 90.00 90.00°
Fractional coordinates of all 5 atoms:
1 Tl 0.000 0.500 0.000
2 Tl 0.500 0.000 0.000
3 Ga 0.000 0.000 0.000
4 Ni 0.000 0.000 0.500
5 Pb 0.500 0.500 0.500

No. 19
A plane-wave DFT calculation with PBE-GGA was carried out for crystalline CsNd2Lu at its relaxed geometry.

Properties
For the energy of formation, the calculation gives 294.1 meV per atom. For the total DFT energy (no corrections), the calculation gives -3.43 eV/atom. Its space group is R-3m (166).

Cell: 3.699 3.699 40.049 Å, 90.00 90.00 120.00°
Fractional coordinates of all 12 atoms:
1 Cs 0.000 0.000 0.000
2 Cs 0.333 0.667 0.667
3 Cs 0.667 0.333 0.333
4 Nd 0.000 0.000 0.097
5 Nd 0.000 0.000 0.903
6 Nd 0.333 0.667 0.570
7 Nd 0.333 0.667 0.763
8 Nd 0.667 0.333 0.237
9 Nd 0.667 0.333 0.430
10 Lu 0.000 0.000 0.500
11 Lu 0.333 0.667 0.167
12 Lu 0.667 0.333 0.833

No. 20
A plane-wave DFT calculation with PBE-GGA was carried out for crystalline KAs2Ir at its relaxed geometry.

Properties
For the energy of formation, the calculation gives 328.1 meV per atom. For the total DFT energy (no corrections), the calculation gives -4.49 eV/atom. Its space group is R3m (160). The distance to the lowest polymorph of the same formula is 635.2 meV per atom.

Cell: 3.245 3.245 28.182 Å, 90.00 90.00 120.00°
Fractional coordinates of all 12 atoms:
1 K 0.000 0.000 0.000
2 K 0.333 0.667 0.667
3 K 0.667 0.333 0.333
4 As 0.000 0.000 0.235
5 As 0.000 0.000 0.490
6 As 0.333 0.667 0.157
7 As 0.333 0.667 0.902
8 As 0.667 0.333 0.568
9 As 0.667 0.333 0.823
10 Ir 0.000 0.000 0.767
11 Ir 0.333 0.667 0.434
12 Ir 0.667 0.333 0.101